1.
This record from Alexandria describes an optimized crystal structure of NdMg9Cu2. The functional is PBE.

POSCAR file:
```
NdMg9Cu2
1.0
6.7897 0.0000 3.1259
3.3949 8.3142 1.5629
-0.0821 0.0000 9.1152
Mg Cu Nd
18 4 2
direct
0.7409 0.5757 0.8198
0.3106 0.6802 0.0757
0.0091 0.9243 0.6802
0.1363 0.1802 0.4243
0.6137 0.3198 0.0757
0.4394 0.8198 0.4243
0.6834 0.5757 0.1802
0.0666 0.3198 0.9243
0.0000 0.0000 0.0000
0.6834 0.1802 0.5757
0.4394 0.4243 0.8198
0.1363 0.4243 0.1802
0.6137 0.0757 0.3198
0.0091 0.6802 0.9243
0.7500 0.5000 0.5000
0.7409 0.8198 0.5757
0.3106 0.0757 0.6802
0.0666 0.9243 0.3198
0.8750 0.2500 0.2500
0.8750 0.2500 0.7500
0.3750 0.7500 0.7500
0.8750 0.7500 0.2500
0.2500 0.5000 0.5000
0.5000 0.0000 0.0000
```

space-group type: I4_1/amd, No. 141
magnetic moment: 0.0 Bohr magnetons per cell
final energy: -56.3 eV/cell
formation energy from the elements: -0.07 eV/atom



2.
This record from Alexandria describes an optimized crystal structure of CuRe3P. The functional is PBE.

POSCAR file:
```
CuRe3P
1.0
4.4582 0.0000 0.0000
0.0000 4.4582 0.0000
0.0000 0.0000 4.4582
Re P Cu
3 1 1
direct
0.0000 0.0000 0.5000
0.5000 0.0000 0.0000
0.0000 0.5000 0.0000
0.5000 0.5000 0.5000
0.0000 0.0000 0.0000
```

space-group type: Pm-3m, No. 221
magnetic moment: 1.0 Bohr magnetons per cell
final energy: -35.3 eV/cell
polymorph energy (0 for the lowest one): 1.244 eV/atom
formation energy from the elements: 2.31 eV/atom



3.
This record from Alexandria describes an optimized crystal structure of Fe2CoTcCl. The functional is PBE.

POSCAR file:
```
Fe2CoTcCl
1.0
-1.8697 -3.0543 -2.8312
-1.8127 -2.1653 3.5329
-3.7412 2.5952 -0.3290
Fe Tc Cl Co
2 1 1 1
direct
0.5000 0.0000 0.0000
0.0000 0.0000 0.5000
0.0000 0.0000 0.0000
0.0000 0.5000 0.0000
0.5000 0.5000 0.5000
```

energy relative to the elements, uncorrected: 1.521 eV/atom
space-group type: P4/mmm, No. 123
magnetic moment: 6.8 Bohr magnetons per cell
final energy: -28.6 eV/cell



4.
This record from Alexandria describes an optimized crystal structure of NaCd4F8. The functional is PBE.

POSCAR file:
```
NaCd4F8
1.0
-6.0871 2.2922 2.5469
-2.0152 -1.8498 6.4273
-0.0764 4.7353 5.1346
Cd F Na
4 8 1
direct
0.3749 0.8754 0.3749
0.8754 0.3749 0.3749
0.3749 0.3749 0.3749
0.3749 0.3749 0.8754
0.6138 0.6138 0.1587
0.1434 0.5698 0.1434
0.5698 0.1434 0.1434
0.1434 0.1434 0.5698
0.1587 0.6138 0.6138
0.6138 0.1587 0.6138
0.6138 0.6138 0.6138
0.1434 0.1434 0.1434
0.7500 0.7500 0.7500
```

energy relative to the elements, uncorrected: -2.104 eV/atom
space-group type: F-43m, No. 216
magnetic moment: 0.0 Bohr magnetons per cell
final energy: -47.3 eV/cell



5.
This record from Alexandria describes an optimized crystal structure of Tl2ReSi. The functional is PBE.

POSCAR file:
```
Tl2ReSi
1.0
5.3957 0.0206 0.0000
-1.6214 5.1464 0.0000
0.0000 0.0000 2.8888
Tl Si Re
2 1 1
direct
0.0000 0.0000 0.0000
0.5000 0.5000 0.0000
0.0000 0.5000 0.5000
0.5000 0.0000 0.5000
```

energy relative to the elements, uncorrected: 1.102 eV/atom
space-group type: Cmmm, No. 65
magnetic moment: 0.0 Bohr magnetons per cell
final energy: -18.2 eV/cell
polymorph energy (0 for the lowest one): 0.749 eV/atom



6.
This record from Alexandria describes an optimized crystal structure of CsCoCl2. The functional is PBE.

POSCAR file:
```
CsCoCl2
1.0
-1.6678 -4.5163 -1.8536
3.9656 -1.1718 -0.7129
0.7332 -1.3133 6.2371
Cl Co Cs
2 1 1
direct
0.1882 0.5000 0.7775
0.0323 0.0000 0.2129
0.1078 0.5000 0.1141
0.6505 0.0000 0.6328
```

energy relative to the elements, uncorrected: -0.843 eV/atom
space-group type: Pm, No. 6
magnetic moment: 2.0 Bohr magnetons per cell
final energy: -15.0 eV/cell
polymorph energy (0 for the lowest one): 0.138 eV/atom



7.
This record from Alexandria describes an optimized crystal structure of NaAl2CuBi. The functional is PBE.

POSCAR file:
```
NaAl2CuBi
1.0
5.4795 0.0000 0.0000
0.0000 5.8099 0.0000
0.0000 0.0000 5.4795
Cu Al Na Bi
1 2 1 1
direct
0.5000 0.5000 0.5000
0.0000 0.0000 0.5000
0.5000 0.0000 0.0000
0.0000 0.5000 0.0000
0.0000 0.0000 0.0000
```

space-group type: P4/mmm, No. 123
magnetic moment: 0.0 Bohr magnetons per cell
final energy: -12.1 eV/cell
formation energy from the elements: 0.93 eV/atom



8.
This record from Alexandria describes an optimized crystal structure of Ta3AlBi. The functional is PBE.

POSCAR file:
```
Ta3AlBi
1.0
-1.8702 4.6276 1.1055
-4.4427 -1.2734 -2.1852
-1.7027 -1.7601 4.4875
Ta Al Bi
3 1 1
direct
0.0000 0.5000 0.0000
0.5000 0.0000 0.0000
0.0000 0.0000 0.5000
0.5000 0.5000 0.5000
0.0000 0.0000 0.0000
```

space-group type: Pm-3m, No. 221
magnetic moment: 0.0 Bohr magnetons per cell
final energy: -31.6 eV/cell
polymorph energy (0 for the lowest one): 1.030 eV/atom
formation energy from the elements: 2.31 eV/atom



9.
This record from Alexandria describes an optimized crystal structure of LaHoTh2. The functional is PBE.

POSCAR file:
```
LaHoTh2
1.0
5.1442 0.0000 0.0000
0.0000 5.0494 0.0000
0.0000 0.0000 5.0494
Th La Ho
2 1 1
direct
0.0000 0.5000 0.0000
0.0000 0.0000 0.5000
0.5000 0.0000 0.0000
0.5000 0.5000 0.5000
```

space-group type: P4/mmm, No. 123
magnetic moment: 0.0 Bohr magnetons per cell
final energy: -24.1 eV/cell
polymorph energy (0 for the lowest one): 0.042 eV/atom
formation energy from the elements: 0.07 eV/atom



10.
This record from Alexandria describes an optimized crystal structure of NdErAgPt. The functional is PBE.

POSCAR file:
```
NdErAgPt
1.0
-3.8547 -0.6077 -3.2681
-3.4951 -3.6062 0.8293
-4.7263 1.3031 1.3685
Nd Ag Pt Er
1 1 1 1
direct
0.0000 0.0000 0.0000
0.2500 0.2500 0.2500
0.7500 0.7500 0.7500
0.5000 0.5000 0.5000
```

space-group type: F-43m, No. 216
magnetic moment: 0.0 Bohr magnetons per cell
final energy: -21.1 eV/cell
formation energy from the elements: -0.73 eV/atom



11.
This record from Alexandria describes an optimized crystal structure of TbGa3RhAu. The functional is PBE.

POSCAR file:
```
TbGa3RhAu
1.0
5.6635 0.0000 0.0000
0.0000 5.7070 0.0000
0.0000 -2.8535 6.9481
Au Ga Tb Rh
2 6 2 2
direct
0.2500 0.3357 0.6714
0.7500 0.6643 0.3286
0.7500 0.8654 0.7309
0.0000 0.2777 0.0000
0.5000 0.2777 0.0000
0.0000 0.7223 0.0000
0.5000 0.7223 0.0000
0.2500 0.1346 0.2691
0.2500 0.7061 0.4122
0.7500 0.2939 0.5878
0.2500 0.8987 0.7975
0.7500 0.1013 0.2025
```

space-group type: Cmcm, No. 63
magnetic moment: 0.0 Bohr magnetons per cell
final energy: -54.4 eV/cell
formation energy from the elements: -0.47 eV/atom



12.
This record from Alexandria describes an optimized crystal structure of KPb. The functional is PBE.

POSCAR file:
```
KPb
1.0
6.1699 0.0000 0.0000
-3.0850 5.3433 0.0000
0.0000 0.0000 5.8339
Pb K
2 2
direct
0.0000 0.0000 0.0000
0.0000 0.0000 0.5000
0.3333 0.6667 0.2500
0.6667 0.3333 0.7500
```

space-group type: P6_3/mmc, No. 194
magnetic moment: 0.0 Bohr magnetons per cell
final energy: -9.8 eV/cell
polymorph energy (0 for the lowest one): 0.189 eV/atom
formation energy from the elements: -0.05 eV/atom



Q: Look up the final energy of the third one.
A: -28.6 eV/cell